Model P:
Pm2Tm2Se5 | PBE-GGA | relaxed

a = 8.207 Å, b = 7.090 Å, c = 10.451 Å
α = 109.83°, β = 113.12°, γ = 90.00°
Fractional coordinates of all 18 atoms:
Pm (0.162, 0.607, 0.187)
Pm (0.838, 0.420, 0.813)
Pm (0.524, 0.107, 0.187)
Pm (0.476, 0.920, 0.813)
Tm (0.000, 0.978, 0.000)
Tm (0.500, 0.478, 0.000)
Tm (0.147, 0.292, 0.500)
Tm (0.853, 0.792, 0.500)
Se (0.258, 0.743, 0.936)
Se (0.742, 0.807, 0.064)
Se (0.178, 0.243, 0.936)
Se (0.822, 0.307, 0.064)
Se (0.251, 0.053, 0.293)
Se (0.749, 0.760, 0.707)
Se (0.542, 0.553, 0.293)
Se (0.458, 0.260, 0.707)
Se (0.173, 0.676, 0.500)
Se (0.827, 0.176, 0.500)

Computed properties:
crystal system	orthorhombic

---

Model Q:
Pm2Tm2Se5 | PBE-GGA | relaxed

a = 7.668 Å, b = 8.334 Å, c = 8.334 Å
α = 124.79°, β = 90.00°, γ = 90.00°
Fractional coordinates of all 18 atoms:
Pm (0.000, 0.802, 0.198)
Pm (0.500, 0.302, 0.698)
Pm (0.000, 0.198, 0.802)
Pm (0.500, 0.698, 0.302)
Tm (0.344, 0.151, 0.151)
Tm (0.656, 0.849, 0.849)
Tm (0.844, 0.349, 0.349)
Tm (0.156, 0.651, 0.651)
Se (0.000, 0.000, 0.000)
Se (0.500, 0.500, 0.500)
Se (0.155, 0.207, 0.475)
Se (0.845, 0.525, 0.793)
Se (0.655, 0.025, 0.293)
Se (0.345, 0.707, 0.975)
Se (0.845, 0.793, 0.525)
Se (0.155, 0.475, 0.207)
Se (0.345, 0.975, 0.707)
Se (0.655, 0.293, 0.025)

Computed properties:
crystal system	orthorhombic

---

Most stable: model Q

---

Model P:
PmTmSe | PBE-GGA | relaxed

a = 6.623 Å, b = 3.872 Å, c = 3.872 Å
α = 120.00°, β = 90.00°, γ = 90.00°
Last column: magnetic moment on the atom in μB.
Fractional coordinates of all 3 atoms:
Tm (0.059, 0.000, 0.000)  0.18
Se (0.325, 0.333, 0.667)  0.00
Pm (0.617, 0.667, 0.333)  -0.12

Computed properties:
crystal system	trigonal

---

Model Q:
PmTmSe | PBE-GGA | relaxed

a = 7.538 Å, b = 10.761 Å, c = 6.880 Å
α = 141.44°, β = 90.00°, γ = 90.00°
Fractional coordinates of all 12 atoms:
Pm (0.000, 0.800, 0.599)
Pm (0.000, 0.200, 0.401)
Pm (0.500, 0.300, 0.599)
Pm (0.500, 0.700, 0.401)
Se (0.806, 0.566, 0.000)
Se (0.306, 0.934, 0.000)
Se (0.194, 0.434, 0.000)
Se (0.694, 0.066, 0.000)
Tm (0.667, 0.800, 0.000)
Tm (0.833, 0.300, 0.000)
Tm (0.167, 0.700, 0.000)
Tm (0.333, 0.200, 0.000)

Computed properties:
crystal system	orthorhombic

---

Most stable: model P

---

Model P:
Pm2Tm3Se6 | PBE-GGA | relaxed

a = 7.063 Å, b = 7.036 Å, c = 7.102 Å
α = 80.44°, β = 70.67°, γ = 59.87°
Fractional coordinates of all 11 atoms:
Pm (0.165, 0.670, 0.500)
Pm (0.835, 0.330, 0.500)
Tm (0.000, 0.000, 0.000)
Tm (0.334, 0.333, 0.000)
Tm (0.666, 0.667, 0.000)
Se (0.413, 0.673, 0.761)
Se (0.739, 0.000, 0.758)
Se (0.087, 0.327, 0.761)
Se (0.261, 0.000, 0.242)
Se (0.587, 0.327, 0.239)
Se (0.913, 0.673, 0.239)

Computed properties:
crystal system	monoclinic

---

Model Q:
Pm2Tm3Se6 | PBE-GGA | relaxed

a = 4.146 Å, b = 4.146 Å, c = 20.127 Å
α = 84.09°, β = 84.09°, γ = 60.00°
Fractional coordinates of all 11 atoms:
Pm (0.445, 0.445, 0.665)
Pm (0.555, 0.555, 0.335)
Tm (0.000, 0.000, 0.000)
Tm (0.281, 0.281, 0.156)
Tm (0.719, 0.719, 0.844)
Se (0.079, 0.079, 0.763)
Se (0.921, 0.921, 0.237)
Se (0.197, 0.197, 0.409)
Se (0.803, 0.803, 0.591)
Se (0.360, 0.360, 0.921)
Se (0.640, 0.640, 0.079)

Computed properties:
crystal system	trigonal

---

Most stable: model P

---

Model P:
PmTmSe3 | PBE-GGA | relaxed

a = 4.103 Å, b = 7.695 Å, c = 16.003 Å
α = 90.00°, β = 90.00°, γ = 90.00°
Fractional coordinates of all 20 atoms:
Pm (0.750, 0.860, 0.799)
Pm (0.250, 0.140, 0.201)
Pm (0.750, 0.360, 0.701)
Pm (0.250, 0.640, 0.299)
Tm (0.250, 0.272, 0.958)
Tm (0.250, 0.772, 0.542)
Tm (0.750, 0.228, 0.458)
Tm (0.750, 0.728, 0.042)
Se (0.250, 0.378, 0.562)
Se (0.750, 0.848, 0.215)
Se (0.750, 0.491, 0.895)
Se (0.750, 0.991, 0.605)
Se (0.750, 0.622, 0.438)
Se (0.250, 0.009, 0.395)
Se (0.250, 0.878, 0.938)
Se (0.750, 0.348, 0.285)
Se (0.250, 0.652, 0.715)
Se (0.250, 0.152, 0.785)
Se (0.750, 0.122, 0.062)
Se (0.250, 0.509, 0.105)

Computed properties:
crystal system	orthorhombic

---

Model Q:
PmTmSe3 | PBE-GGA | relaxed

a = 4.082 Å, b = 8.077 Å, c = 8.240 Å
α = 95.17°, β = 90.00°, γ = 90.00°
Fractional coordinates of all 10 atoms:
Pm (0.250, 0.379, 0.228)
Pm (0.750, 0.621, 0.772)
Tm (0.250, 0.853, 0.326)
Tm (0.750, 0.147, 0.674)
Se (0.750, 0.625, 0.390)
Se (0.250, 0.375, 0.610)
Se (0.750, 0.314, 0.975)
Se (0.250, 0.901, 0.680)
Se (0.250, 0.686, 0.025)
Se (0.750, 0.099, 0.320)

Computed properties:
crystal system	monoclinic

---

Most stable: model P